(1)
This record from Alexandria via LeMat-Bulk describes a relaxed structure of AcNpTe2. The functional is PBE.

Lattice parameters (Å, degrees): 7.9958 7.9958 7.9958 32.98 32.98 32.98
With the nearest neighbours (Å) after each atom.
Fractional positions:
Ac: 0.0000 0.0000 0.0000  6 Te 3.33
Np: 0.5000 0.5000 0.5000  6 Te 3.14
Te: 0.2427 0.2427 0.2427  3 Np 3.14, 3 Ac 3.33
Te: 0.7573 0.7573 0.7573  3 Np 3.14, 3 Ac 3.33

Properties
Theoretical density: 8.9 Mg/m³
Excess energy over the best structure of this formula in the dataset: 0 meV/atom
Raw formation energy: -1.016 eV per atom
Uncorrected energy: -6.849 eV/atom

(2)
This record from Alexandria via LeMat-Bulk describes a relaxed structure of BaAl6Pd2. The functional is PBE.

Lattice parameters (Å, degrees): 7.1206 7.1206 7.1206 143.63 112.02 79.62
With the nearest neighbours (Å) after each atom.
Fractional positions:
Ba: 0.0000 0.0000 0.0000  2 Pd 3.28, 12 Al 3.46-3.56
Al: 0.0577 0.7233 0.3343  4 Al 2.64-2.78, 3 Pd 2.67-2.72
Al: 0.3334 0.5000 0.8334  2 Pd 2.56, 3 Al 2.65-2.78
Al: 0.3890 0.7233 0.6657  4 Al 2.64-2.78, 3 Pd 2.67-2.72
Al: 0.6110 0.2767 0.3343  4 Al 2.64-2.78, 3 Pd 2.67-2.72
Al: 0.6666 0.5000 0.1666  2 Pd 2.56, 3 Al 2.65-2.78
Al: 0.9423 0.2767 0.6657  4 Al 2.64-2.78, 3 Pd 2.67-2.72
Pd: 0.2995 0.2995 0.0000  8 Al 2.56-2.72
Pd: 0.7005 0.7005 0.0000  8 Al 2.56-2.72

Properties
Theoretical density: 4.4 Mg/m³
DFT formation energy: -357.4 meV per atom
Uncorrected energy: -4.220 eV/atom

(3)
This record from Alexandria via LeMat-Bulk describes a relaxed structure of Ca2HgBr. The functional is PBE.

Lattice parameters (Å, degrees): 4.3838 4.3838 6.3476 90.00 90.00 90.00
With the nearest neighbours (Å) after each atom.
Fractional positions:
Ca: 0.0000 0.0000 0.0000  4 Br 3.10, 2 Hg 3.17-3.18
Ca: 0.5000 0.5000 0.4991  4 Hg 3.10, 2 Br 3.17-3.18
Hg: 0.0000 0.0000 0.5002  6 Ca 3.10-3.18
Br: 0.5000 0.5000 0.9993  6 Ca 3.10-3.18

Properties
Theoretical density: 4.9 Mg/m³
Excess energy over the best structure of this formula in the dataset: 67 meV/atom
Raw formation energy: -0.879 eV per atom
Uncorrected energy: -2.373 eV/atom

(4)
This record from Alexandria via LeMat-Bulk describes a relaxed structure of Zr6TlGa5. The functional is PBE.

Lattice parameters (Å, degrees): 6.1520 6.1520 7.1773 96.44 96.44 107.22
With the nearest neighbours (Å) after each atom.
Fractional positions:
Zr: 0.0522 0.4029 0.7259  5 Ga 2.72-2.85
Zr: 0.2184 0.2184 0.2354  5 Ga 2.70-2.86, 1 Tl 2.90
Zr: 0.4029 0.0522 0.7259  5 Ga 2.72-2.85
Zr: 0.5971 0.9478 0.2741  5 Ga 2.72-2.85
Zr: 0.7816 0.7816 0.7646  5 Ga 2.70-2.86, 1 Tl 2.90
Zr: 0.9478 0.5971 0.2741  5 Ga 2.72-2.85
Tl: 0.5000 0.5000 0.0000  6 Zr 2.90-3.06, 2 Ga 3.08
Ga: 0.0000 0.0000 0.5000  6 Zr 2.70-2.72
Ga: 0.1893 0.8107 0.0000  6 Zr 2.81-2.85, 1 Tl 3.08
Ga: 0.3644 0.6356 0.5000  1 Ga 2.69, 6 Zr 2.81-2.86
Ga: 0.6356 0.3644 0.5000  1 Ga 2.69, 6 Zr 2.81-2.86
Ga: 0.8107 0.1893 0.0000  6 Zr 2.81-2.85, 1 Tl 3.08

Properties
Theoretical density: 7.2 Mg/m³
DFT formation energy: -284.9 meV per atom
Uncorrected energy: -6.017 eV/atom

(5)
This record from Alexandria via LeMat-Bulk describes a relaxed structure of ZnTeI6. The functional is PBE.

Lattice parameters (Å, degrees): 7.7182 7.7182 7.4288 100.34 100.34 122.47
With the nearest neighbours (Å) after each atom.
Fractional positions:
Zn: 0.0000 0.0000 0.0000  4 I 2.78
Te: 0.5000 0.5000 0.5000  6 I 2.93-3.01
I: 0.0815 0.3787 0.2306  1 Zn 2.78, 1 Te 3.01
I: 0.2623 0.2623 0.7383  1 Te 2.93, 1 Zn 3.23
I: 0.3787 0.0815 0.2306  1 Zn 2.78, 1 Te 3.01
I: 0.6213 0.9185 0.7694  1 Zn 2.78, 1 Te 3.01
I: 0.7377 0.7377 0.2617  1 Te 2.93, 1 Zn 3.23
I: 0.9185 0.6213 0.7694  1 Zn 2.78, 1 Te 3.01

Properties
Theoretical density: 4.6 Mg/m³
Raw formation energy: -0.171 eV per atom
Uncorrected energy: -1.885 eV/atom

(6)
This record from Alexandria via LeMat-Bulk describes a relaxed structure of YNb. The functional is PBE.

Lattice parameters (Å, degrees): 7.8118 7.8118 7.8118 154.05 55.50 131.85
With the nearest neighbours (Å) after each atom.
Fractional positions:
Y: 0.0000 0.0000 0.0000  6 Nb 3.03-3.27
Y: 0.0392 0.7395 0.2997  3 Nb 3.15-3.17, 2 Y 3.51
Y: 0.4398 0.7395 0.7003  3 Nb 3.15-3.17, 2 Y 3.51
Nb: 0.4866 0.4866 0.0000  4 Nb 2.67
Nb: 0.5833 0.1934 0.3899  2 Nb 2.67
Nb: 0.8035 0.1934 0.6101  2 Nb 2.67

Properties
Theoretical density: 5.9 Mg/m³
Excess energy over the best structure of this formula in the dataset: 218 meV/atom
DFT formation energy: 338.3 meV per atom
Uncorrected energy: -7.929 eV/atom

(7)
This record from Alexandria via LeMat-Bulk describes a relaxed structure of NaAcHg. The functional is PBE.

Lattice parameters (Å, degrees): 6.4150 6.4150 6.4150 142.60 142.60 53.92
With the nearest neighbours (Å) after each atom.
Fractional positions:
Na: 0.0000 0.0000 0.0000  4 Hg 3.28, 1 Ac 3.41
Ac: 0.7015 0.7015 0.0000  5 Na 3.41-3.71, 5 Hg 3.48-3.81
Hg: 0.3682 0.3682 0.0000  4 Na 3.28, 4 Ac 3.48

Properties
Theoretical density: 7.7 Mg/m³
Excess energy over the best structure of this formula in the dataset: 78 meV/atom
DFT formation energy: -148.2 meV per atom
Uncorrected energy: -2.058 eV/atom

(8)
This record from Alexandria via LeMat-Bulk describes a relaxed structure of ErThCu. The functional is PBE.

Lattice parameters (Å, degrees): 6.6195 6.6195 6.6195 149.37 149.37 43.87
With the nearest neighbours (Å) after each atom.
Fractional positions:
Er: 0.0000 0.0000 0.0000  4 Cu 2.97
Th: 0.2913 0.2913 0.0000  4 Cu 3.13, 4 Th 3.50
Cu: 0.6345 0.6345 0.0000  4 Er 2.97, 4 Th 3.13

Properties
Theoretical density: 10.2 Mg/m³
Excess energy over the best structure of this formula in the dataset: 0 meV/atom
DFT formation energy: -71.9 meV per atom
Uncorrected energy: -5.432 eV/atom

(9)
This record from Alexandria via LeMat-Bulk describes a relaxed structure of Tl2PtO4. The functional is PBE.

Lattice parameters (Å, degrees): 7.0736 7.0736 7.0736 146.91 146.91 47.50
With the nearest neighbours (Å) after each atom.
Fractional positions:
Tl: 0.1502 0.1502 0.0000  5 O 2.52-2.80
Tl: 0.8498 0.8498 0.0000  5 O 2.52-2.80
Pt: 0.5000 0.5000 0.0000  6 O 2.01
O: 0.0000 0.5000 0.5000  2 Pt 2.01
O: 0.3448 0.3448 0.0000  1 Pt 2.01
O: 0.5000 0.0000 0.5000  2 Pt 2.01
O: 0.6552 0.6552 0.0000  1 Pt 2.01

Properties
Theoretical density: 10.6 Mg/m³
Raw formation energy: -0.356 eV per atom
Uncorrected energy: -4.728 eV/atom

(10)
This record from Alexandria via LeMat-Bulk describes a relaxed structure of Mg3GaFe. The functional is PBE.

Lattice parameters (Å, degrees): 4.9221 4.9221 4.9221 90.00 90.00 90.00
With the nearest neighbours (Å) after each atom.
Fractional positions:
Mg: 0.0000 0.0000 0.5000  2 Ga 2.46
Mg: 0.0000 0.5000 0.0000  2 Ga 2.46
Mg: 0.5000 0.0000 0.0000  2 Ga 2.46
Ga: 0.0000 0.0000 0.0000  6 Mg 2.46
Fe: 0.5000 0.5000 0.5000  12 Mg 3.48

Properties
Theoretical density: 2.8 Mg/m³
Excess energy over the best structure of this formula in the dataset: 394 meV/atom
DFT formation energy: 966.3 meV per atom
Uncorrected energy: -2.288 eV/atom

(11)
This record from Alexandria via LeMat-Bulk describes a relaxed structure of Zr2NiRh2. The functional is PBE.

Lattice parameters (Å, degrees): 6.9586 6.9586 6.9586 130.78 67.62 136.69
With the nearest neighbours (Å) after each atom.
Fractional positions:
Zr: 0.1673 0.2080 0.3753  2 Ni 2.62, 4 Rh 2.69-2.78
Zr: 0.3327 0.7080 0.0406  2 Ni 2.62, 4 Rh 2.69-2.78
Zr: 0.6673 0.2920 0.9594  2 Ni 2.62, 4 Rh 2.69-2.78
Zr: 0.8327 0.7920 0.6247  2 Ni 2.62, 4 Rh 2.69-2.78
Ni: 0.2500 0.2500 0.0000  2 Ni 2.57, 4 Rh 2.60, 4 Zr 2.62
Ni: 0.7500 0.7500 0.0000  2 Ni 2.57, 4 Rh 2.60, 4 Zr 2.62
Rh: 0.1011 0.6657 0.7668  2 Ni 2.60, 4 Zr 2.69-2.78
Rh: 0.3989 0.1657 0.5646  2 Ni 2.60, 4 Zr 2.69-2.78
Rh: 0.6011 0.8343 0.4354  2 Ni 2.60, 4 Zr 2.69-2.78
Rh: 0.8989 0.3343 0.2332  2 Ni 2.60, 4 Zr 2.69-2.78

Properties
Theoretical density: 8.6 Mg/m³
Excess energy over the best structure of this formula in the dataset: 0 meV/atom
DFT formation energy: -565.9 meV per atom
Uncorrected energy: -8.082 eV/atom

(12)
This record from Alexandria via LeMat-Bulk describes a relaxed structure of TiNiOs. The functional is PBE.

Lattice parameters (Å, degrees): 4.7251 4.7251 4.5205 99.73 99.73 120.32
With the nearest neighbours (Å) after each atom.
Fractional positions:
Ti: 0.0000 0.0000 0.0000  4 Os 2.65, 5 Ni 2.65-2.76, 3 Ti 2.70-2.76
Ti: 0.6630 0.3370 0.0000  5 Ni 2.65-2.79, 4 Os 2.65-2.69, 3 Ti 2.70-2.76
Ni: 0.1683 0.8317 0.5000  2 Ni 2.59, 6 Os 2.61-2.79, 4 Ti 2.65
Ni: 0.3231 0.6769 0.0000  2 Ni 2.59, 4 Os 2.63-2.65, 6 Ti 2.65-2.79
Os: 0.4861 0.5139 0.5000  5 Ni 2.61-2.79, 4 Ti 2.65-2.69, 3 Os 2.67-2.84
Os: 0.8323 0.1677 0.5000  4 Ti 2.65, 5 Ni 2.65-2.75, 3 Os 2.67-2.84

Properties
Theoretical density: 12.0 Mg/m³
Excess energy over the best structure of this formula in the dataset: 173 meV/atom
DFT formation energy: -261.4 meV per atom
Uncorrected energy: -8.563 eV/atom